Record 1
La6TeSe2S3: relaxed, PBE.

Results
- Formation energy without anion corrections: -2007.4 meV/atom
- DOS at the Fermi energy: 5.13 states/eV/cell
- Energy: -6.346 eV per atom
- Calculated density: 6.04 g/cm³
- Total magnetization: 0.000 Bohr magnetons per cell

Cell: 9.608 9.608 8.632 Å, 103.73 103.73 25.60°
Fractional positions:
La 0.004 0.004 0.226
La 0.324 0.324 0.426
La 0.338 0.338 0.907
La 0.662 0.662 0.093
La 0.676 0.676 0.574
La 0.996 0.996 0.774
Te 0.500 0.500 0.500
Se 0.168 0.168 0.833
Se 0.832 0.832 0.167
S 0.165 0.165 0.331
S 0.500 0.500 0.000
S 0.835 0.835 0.669



Record 2
Cr2Ni2Rh7: relaxed, PBE.

Results
- DOS at the Fermi energy: 15.95 states/eV/cell
- Energy: -7.211 eV per atom
- ΔH_f (0 K): 0.27 eV per atom
- Calculated density: 9.88 g/cm³
- Total magnetization: 0.000 Bohr magnetons per cell

Cell: 5.921 5.921 4.629 Å, 98.70 98.70 85.23°
Fractional positions:
Cr 0.025 0.025 0.219
Cr 0.975 0.975 0.781
Ni 0.326 0.674 0.000
Ni 0.674 0.326 0.000
Rh 0.083 0.437 0.253
Rh 0.245 0.245 0.747
Rh 0.437 0.083 0.253
Rh 0.500 0.500 0.500
Rh 0.563 0.917 0.747
Rh 0.755 0.755 0.253
Rh 0.917 0.563 0.747



Record 3
TmCoI: relaxed, PBE.

Results
- Formation energy without anion corrections: -796.0 meV/atom
- DOS at the Fermi energy: 4.07 states/eV/cell
- Energy: -5.172 eV per atom
- Calculated density: 7.13 g/cm³
- Total magnetization: 0.590 Bohr magnetons per cell

Cell: 3.953 3.953 12.424 Å, 99.29 99.29 59.99°
Fractional positions:
Tm 0.050 0.050 0.147
Tm 0.950 0.950 0.853
Co 0.334 0.334 0.003
Co 0.666 0.666 0.997
I 0.224 0.224 0.678
I 0.776 0.776 0.322



Record 4
NdSi4Pt12: relaxed, PBE.

Results
- Formation energy without anion corrections: -470.5 meV/atom
- DOS at the Fermi energy: 3.99 states/eV/cell
- Energy: -6.291 eV per atom
- Calculated density: 14.42 g/cm³
- Total magnetization: 0.000 Bohr magnetons per cell

Cell: 7.297 7.297 7.297 Å, 109.47 109.47 109.47°
Fractional positions:
Nd 0.000 0.000 0.000
Si 0.000 0.000 0.500
Si 0.000 0.500 0.000
Si 0.500 0.000 0.000
Si 0.500 0.500 0.500
Pt 0.162 0.341 0.504
Pt 0.162 0.659 0.821
Pt 0.179 0.838 0.341
Pt 0.341 0.179 0.838
Pt 0.341 0.504 0.162
Pt 0.496 0.838 0.659
Pt 0.504 0.162 0.341
Pt 0.659 0.496 0.838
Pt 0.659 0.821 0.162
Pt 0.821 0.162 0.659
Pt 0.838 0.341 0.179
Pt 0.838 0.659 0.496